## ScSiBr3 (PBE-GGA)

Data for a relaxed ScSiBr3 crystal.

E, eV per cell: -16.772
E above lowest polymorph, meV/atom: 408
Size of the total moment, μB/cell: 1.81
Volume, Å³ per cell: 147
Formation energy without anion corrections, eV per atom: 0.000

Cell lengths 5.2823, 5.2823, 5.2823 Å; angles 90.00, 90.00, 90.00 degrees
Sites, in units of the cell vectors:
Sc 0.0000 0.0000 0.0000
Si 0.5000 0.5000 0.5000
Br 0.0000 0.5000 0.5000
Br 0.5000 0.0000 0.5000
Br 0.5000 0.5000 0.0000